(1)
A relaxed BiPIrCl2 crystal, computed with PBE.

a b c (Å): 4.822 4.822 4.713
angles (deg): 90.00 90.00 90.00
Space group P4/mmm (No. 123)
Asymmetric unit:
Bi 0.000 0.000 0.000
P 0.500 0.500 0.000
Ir 0.500 0.500 0.500
Cl 0.000 0.500 0.500

Offset from the most stable computed form   0 kJ/mol of formula units
Calculated volume   21.9 Å³/atom
Crystal system   tetragonal

(2)
A relaxed BiPIrCl2 crystal, computed with PBE.

a b c (Å): 5.188 5.188 5.672
angles (deg): 90.00 90.00 90.00
Space group P4/mmm (No. 123)
Asymmetric unit:
Bi 0.000 0.000 0.000
P 0.000 0.000 0.500
Ir 0.500 0.500 0.500
Cl 0.000 0.500 0.000

Offset from the most stable computed form   460 kJ/mol of formula units
Calculated volume   30.5 Å³/atom
Crystal system   tetragonal

(3)
A relaxed Pm3BiIrCl crystal, computed with PBE.

a b c (Å): 7.947 4.372 10.267
angles (deg): 90.00 106.55 90.00
Space group P2_1/m (No. 11)
Asymmetric unit:
Pm 0.044 0.250 0.366
Pm 0.208 0.250 0.949
Pm 0.433 0.750 0.634
Bi 0.226 0.750 0.196
Ir 0.205 0.250 0.643
Cl 0.407 0.750 0.897

Calculated volume   28.5 Å³/atom
Crystal system   monoclinic

(4)
A relaxed Pr3BiIrCl crystal, computed with PBE.

a b c (Å): 8.083 4.435 10.387
angles (deg): 90.00 106.81 90.00
Space group P2_1/m (No. 11)
Asymmetric unit:
Pr 0.044 0.250 0.364
Pr 0.208 0.250 0.950
Pr 0.432 0.750 0.634
Bi 0.226 0.750 0.197
Ir 0.204 0.250 0.643
Cl 0.407 0.750 0.898

Calculated volume   29.7 Å³/atom
Crystal system   monoclinic

no.,formation energy (no corrections) (eV/atom),final energy (eV/f.u.),M_tot (μB per formula unit)
1,0.256,-20.57,0.0
2,1.209,-15.80,2.1
3,-0.936,-34.46,0.0
4,-0.931,-34.51,0.0